No. 1
First-principles (meta-GGA SCAN) data for a crystal of NaLiMn2 relaxed with PBEsol, as listed in Alexandria.

The structure in POSCAR format:
```
NaLiMn2
1.0
4.687 0.000 0.000
2.343 4.059 0.000
2.343 1.353 3.827
Na Mn Li
1 2 1
Direct
0.500 0.500 0.500
0.250 0.250 0.250
0.750 0.750 0.750
0.000 0.000 0.000
```

The value obtained for the total energy is -10.282 eV per atom. The calculation puts the formation energy at 497 meV/atom. As for the symmetry: Fm-3m.



No. 2
First-principles (meta-GGA SCAN) data for a crystal of NaLi2Mn relaxed with PBEsol, as listed in Alexandria.

The structure in POSCAR format:
```
NaLi2Mn
1.0
-3.749 2.739 -1.475
-4.554 -1.268 1.177
-2.505 2.644 3.234
Na Mn Li
1 1 2
Direct
0.000 0.000 0.000
0.500 0.500 0.500
0.250 0.250 0.250
0.750 0.750 0.750
```

The value obtained for the total energy is -6.578 eV per atom. The calculation puts the formation energy at 235 meV/atom. As for the symmetry: Fm-3m.



No. 3
First-principles (meta-GGA SCAN) data for a crystal of Na3LiMn5O9 relaxed with PBEsol, as listed in Alexandria.

The structure in POSCAR format:
```
Na3LiMn5O9
1.0
5.216 0.004 0.008
-2.523 4.565 0.007
-2.583 -1.420 7.741
Li Mn Na O
1 5 3 9
Direct
0.767 0.053 0.162
0.107 0.733 0.153
0.871 0.271 0.825
0.443 0.396 0.153
0.531 0.601 0.821
0.200 0.931 0.821
0.643 0.823 0.482
0.969 0.476 0.481
0.298 0.152 0.479
0.674 0.385 0.993
0.833 0.739 0.280
0.492 0.080 0.280
0.440 0.882 0.697
0.107 0.203 0.687
0.756 0.551 0.687
0.042 0.017 0.993
0.199 0.450 0.268
0.319 0.669 0.971
```

The value obtained for the total energy is -11.104 eV per atom. As for the symmetry: P1. Its uncorrected formation energy is -2.082 eV/atom.



No. 4
First-principles (meta-GGA SCAN) data for a crystal of Li4Mn3Nb2Ni3O16 relaxed with PBEsol, as listed in Alexandria.

The structure in POSCAR format:
```
Li4Mn3Nb2Ni3O16
1.0
-1.380 -3.257 4.548
0.109 -2.349 -5.299
9.182 -2.169 1.232
O Nb Li Ni Mn
16 2 4 3 3
Direct
0.520 0.039 0.154
0.326 0.154 0.903
0.971 0.502 0.158
0.483 0.966 0.670
0.531 0.502 0.158
0.994 0.988 0.693
0.673 0.346 0.391
0.162 0.325 0.414
0.827 0.154 0.903
0.667 0.820 0.402
0.342 0.684 0.892
0.500 0.536 0.663
0.037 0.536 0.663
0.153 0.820 0.402
0.837 0.674 0.896
0.994 0.988 0.197
0.330 0.660 0.502
0.657 0.314 0.011
0.338 0.675 0.101
0.996 0.991 0.504
0.998 0.996 0.010
0.670 0.340 0.598
0.833 0.173 0.286
0.339 0.173 0.286
0.171 0.342 0.786
0.166 0.825 0.785
0.827 0.653 0.281
0.659 0.825 0.785
```

The value obtained for the total energy is -12.145 eV per atom. As for the symmetry: Cm. Its uncorrected formation energy is -2.187 eV/atom.



No. 5
First-principles (meta-GGA SCAN) data for a crystal of Li4Mn3NbO8 relaxed with PBEsol, as listed in Alexandria.

The structure in POSCAR format:
```
Li4Mn3NbO8
1.0
-5.519 -1.222 1.901
-2.188 -5.478 -0.880
4.324 0.747 4.039
O Li Mn Nb
8 4 3 1
Direct
0.766 0.239 0.761
0.238 0.766 0.761
0.735 0.735 0.265
0.238 0.239 0.234
0.265 0.265 0.735
0.762 0.761 0.766
0.762 0.234 0.239
0.234 0.761 0.239
0.000 0.000 0.500
0.500 0.500 0.500
0.000 0.500 0.000
0.500 0.000 0.000
0.500 0.000 0.500
0.000 0.500 0.500
0.500 0.500 0.000
0.000 0.000 0.000
```

The value obtained for the total energy is -11.472 eV per atom. As for the symmetry: R-3m. Its uncorrected formation energy is -2.265 eV/atom.



No. 6
First-principles (meta-GGA SCAN) data for a crystal of Li5Mn3Nb2O10 relaxed with PBEsol, as listed in Alexandria.

The structure in POSCAR format:
```
Li5Mn3Nb2O10
1.0
5.278 0.079 0.055
1.013 5.080 0.017
2.595 2.099 7.173
Li Mn O Nb
5 3 10 2
Direct
0.527 0.785 0.399
0.503 0.599 0.790
0.473 0.215 0.601
0.000 0.500 0.500
0.497 0.401 0.210
0.010 0.694 0.101
0.990 0.306 0.899
0.500 0.000 0.000
0.747 0.663 0.944
0.773 0.441 0.344
0.739 0.223 0.758
0.746 0.839 0.549
0.261 0.777 0.242
0.227 0.559 0.656
0.769 0.049 0.153
0.253 0.337 0.056
0.231 0.951 0.847
0.254 0.161 0.451
0.994 0.094 0.322
0.006 0.906 0.678
```

The value obtained for the total energy is -12.088 eV per atom. As for the symmetry: P-1. Its uncorrected formation energy is -2.324 eV/atom.



No. 7
First-principles (meta-GGA SCAN) data for a crystal of Li4Mn3NbO8 relaxed with PBEsol, as listed in Alexandria.

The structure in POSCAR format:
```
Li4Mn3NbO8
1.0
-3.216 -3.634 -3.438
-2.983 -4.405 2.658
-9.770 3.382 0.802
Nb O Mn Li
2 16 6 8
Direct
0.260 0.740 0.750
0.740 0.260 0.250
0.336 0.872 0.388
0.873 0.385 0.363
0.904 0.867 0.876
0.133 0.096 0.624
0.389 0.369 0.367
0.096 0.133 0.124
0.127 0.615 0.637
0.611 0.631 0.633
0.369 0.389 0.867
0.664 0.128 0.612
0.631 0.611 0.133
0.128 0.664 0.112
0.385 0.873 0.863
0.872 0.336 0.888
0.867 0.904 0.376
0.615 0.127 0.137
0.248 0.752 0.250
0.000 0.000 0.000
0.752 0.248 0.750
0.000 0.000 0.500
0.500 0.500 0.500
0.500 0.500 0.000
0.745 0.768 0.743
0.500 0.000 0.000
0.500 0.000 0.500
0.255 0.232 0.257
0.768 0.745 0.243
0.000 0.500 0.000
0.000 0.500 0.500
0.232 0.255 0.757
```

The value obtained for the total energy is -11.478 eV per atom. As for the symmetry: C2/c. Its uncorrected formation energy is -2.271 eV/atom.



No. 8
First-principles (meta-GGA SCAN) data for a crystal of Li4Mn5NbO12 relaxed with PBEsol, as listed in Alexandria.

The structure in POSCAR format:
```
Li4Mn5NbO12
1.0
-3.023 -3.918 1.375
4.540 0.296 2.383
-4.697 6.925 6.290
Mn Li O Nb
5 4 12 1
Direct
0.836 0.164 0.000
0.334 0.666 0.500
0.500 0.500 0.000
0.164 0.836 0.000
0.666 0.334 0.500
0.076 0.435 0.788
0.565 0.924 0.212
0.435 0.076 0.788
0.924 0.565 0.212
0.994 0.338 0.606
0.840 0.840 0.088
0.769 0.408 0.892
0.231 0.592 0.108
0.338 0.994 0.606
0.408 0.769 0.892
0.662 0.006 0.394
0.308 0.308 0.411
0.692 0.692 0.589
0.006 0.662 0.394
0.592 0.231 0.108
0.160 0.160 0.912
0.000 0.000 0.500
```

The value obtained for the total energy is -11.719 eV per atom. As for the symmetry: C2/m. Its uncorrected formation energy is -2.231 eV/atom.



No. 9
First-principles (meta-GGA SCAN) data for a crystal of Li4Mn3NbO8 relaxed with PBEsol, as listed in Alexandria.

The structure in POSCAR format:
```
Li4Mn3NbO8
1.0
-1.987 0.946 -5.606
-5.327 -2.690 1.434
-3.040 7.349 2.490
Mn O Nb Li
6 16 2 8
Direct
0.250 0.747 0.750
0.000 0.000 0.000
0.500 0.500 0.500
0.000 0.500 0.000
0.750 0.253 0.250
0.500 0.000 0.500
0.783 0.267 0.009
0.510 0.518 0.261
0.735 0.755 0.008
0.717 0.267 0.491
0.265 0.245 0.992
0.490 0.482 0.739
0.011 0.011 0.745
0.235 0.245 0.508
0.989 0.989 0.255
0.511 0.989 0.245
0.283 0.733 0.509
0.010 0.482 0.761
0.217 0.733 0.991
0.489 0.011 0.755
0.990 0.518 0.239
0.765 0.755 0.492
0.250 0.241 0.750
0.750 0.759 0.250
0.750 0.757 0.750
0.000 0.500 0.500
0.500 0.000 0.000
0.250 0.243 0.250
0.250 0.743 0.250
0.500 0.500 0.000
0.000 0.000 0.500
0.750 0.257 0.750
```

The value obtained for the total energy is -11.476 eV per atom. As for the symmetry: P2/c. Its uncorrected formation energy is -2.270 eV/atom.



No. 10
First-principles (meta-GGA SCAN) data for a crystal of Li4Mn3Nb2Sn3O16 relaxed with PBEsol, as listed in Alexandria.

The structure in POSCAR format:
```
Li4Mn3Nb2Sn3O16
1.0
6.126 0.000 0.000
-3.063 5.348 0.007
0.000 -0.073 9.833
Li Mn O Nb Sn
4 3 16 2 3
Direct
0.009 0.019 0.016
0.670 0.341 0.595
0.331 0.662 0.099
0.002 0.003 0.504
0.826 0.164 0.289
0.171 0.342 0.787
0.338 0.164 0.289
0.519 0.038 0.145
0.962 0.485 0.147
0.043 0.531 0.653
0.488 0.531 0.653
0.485 0.970 0.659
0.001 0.002 0.688
0.524 0.485 0.147
0.168 0.336 0.415
0.160 0.819 0.410
0.338 0.677 0.899
0.999 0.998 0.200
0.659 0.819 0.410
0.828 0.164 0.907
0.840 0.680 0.904
0.667 0.333 0.393
0.336 0.164 0.907
0.654 0.308 0.018
0.324 0.648 0.503
0.169 0.831 0.786
0.663 0.831 0.786
0.828 0.655 0.284
```

The value obtained for the total energy is -14.254 eV per atom. As for the symmetry: Cm. Its uncorrected formation energy is -2.180 eV/atom.



No. 11
First-principles (meta-GGA SCAN) data for a crystal of Li4Ti3Mn2Nb3O16 relaxed with PBEsol, as listed in Alexandria.

The structure in POSCAR format:
```
Li4Ti3Mn2Nb3O16
1.0
5.927 0.000 0.000
-2.963 5.204 -0.025
0.000 -0.110 9.898
O Ti Mn Li Nb
16 3 2 4 3
Direct
0.311 0.146 0.103
0.524 0.496 0.828
0.163 0.844 0.604
0.519 0.037 0.851
0.332 0.664 0.105
0.001 0.002 0.816
0.689 0.377 0.594
0.835 0.146 0.103
0.480 0.960 0.327
0.681 0.844 0.604
0.487 0.518 0.331
0.972 0.496 0.828
0.157 0.314 0.594
0.995 0.991 0.317
0.031 0.518 0.331
0.838 0.677 0.107
0.660 0.827 0.216
0.167 0.827 0.216
0.839 0.678 0.721
0.664 0.328 0.001
0.328 0.657 0.495
0.668 0.336 0.391
0.993 0.986 0.497
0.988 0.976 0.996
0.337 0.674 0.898
0.166 0.332 0.214
0.358 0.173 0.710
0.815 0.173 0.710
```

The value obtained for the total energy is -13.165 eV per atom. As for the symmetry: Cm. Its uncorrected formation energy is -2.692 eV/atom.



No. 12
First-principles (meta-GGA SCAN) data for a crystal of Li4MnNbW2O12 relaxed with PBEsol, as listed in Alexandria.

The structure in POSCAR format:
```
Li4MnNbW2O12
1.0
5.062 0.003 0.012
-0.008 5.362 0.006
-0.078 -0.610 7.466
O Nb Li Mn W
12 1 4 1 2
Direct
0.179 0.694 0.425
0.699 0.211 0.936
0.198 0.315 0.048
0.830 0.329 0.557
0.311 0.814 0.045
0.310 0.192 0.426
0.678 0.834 0.558
0.622 0.524 0.247
0.798 0.704 0.935
0.126 0.019 0.730
0.878 0.033 0.260
0.374 0.511 0.750
0.501 0.483 0.513
0.502 0.952 0.260
0.000 0.405 0.271
0.999 0.415 0.803
0.496 0.937 0.803
0.000 0.999 0.997
0.506 0.505 0.010
0.994 0.981 0.497
```

The value obtained for the total energy is -16.148 eV per atom. As for the symmetry: P1. Its uncorrected formation energy is -2.394 eV/atom.



No. 13
First-principles (meta-GGA SCAN) data for a crystal of LiMnNi relaxed with PBEsol, as listed in Alexandria.

The structure in POSCAR format:
```
LiMnNi
1.0
-0.264 1.088 -2.128
0.075 -2.136 -1.102
-5.673 0.072 2.099
Ni Mn Li
1 1 1
Direct
0.325 0.325 0.650
0.681 0.681 0.362
0.994 0.994 0.988
```

The value obtained for the total energy is -12.087 eV per atom. The calculation puts the formation energy at 186 meV/atom. As for the symmetry: I4mm.



No. 14
First-principles (meta-GGA SCAN) data for a crystal of Li2MnNi relaxed with PBEsol, as listed in Alexandria.

The structure in POSCAR format:
```
Li2MnNi
1.0
-0.327 -2.401 0.471
2.445 -0.342 -0.044
0.354 1.504 7.908
Li Ni Mn
2 1 1
Direct
0.000 0.000 0.961
0.500 0.500 0.278
0.500 0.500 0.730
0.000 0.000 0.531
```

The value obtained for the total energy is -9.672 eV per atom. The calculation puts the formation energy at 130 meV/atom. As for the symmetry: P4mm.



No. 15
First-principles (meta-GGA SCAN) data for a crystal of LiMnNi4 relaxed with PBEsol, as listed in Alexandria.

The structure in POSCAR format:
```
LiMnNi4
1.0
-1.127 -3.822 2.342
-2.203 -3.456 -2.138
2.208 -3.970 -0.855
Ni Mn Li
4 1 1
Direct
0.625 0.625 0.125
0.625 0.625 0.625
0.125 0.625 0.625
0.625 0.125 0.625
0.000 0.000 0.000
0.250 0.250 0.250
```

The value obtained for the total energy is -14.333 eV per atom. The calculation puts the formation energy at -110 meV/atom. As for the symmetry: F-43m.



No. 16
First-principles (meta-GGA SCAN) data for a crystal of Li2MnNi relaxed with PBEsol, as listed in Alexandria.

The structure in POSCAR format:
```
Li2MnNi
1.0
-0.811 4.029 0.235
-0.286 1.831 3.676
2.928 2.621 1.228
Ni Li Mn
1 2 1
Direct
0.250 0.250 0.250
0.750 0.750 0.750
0.000 0.000 0.000
0.500 0.500 0.500
```

The value obtained for the total energy is -9.787 eV per atom. The calculation puts the formation energy at 15 meV/atom. As for the symmetry: F-43m.



No. 17
First-principles (meta-GGA SCAN) data for a crystal of Li5MnNi4O10 relaxed with PBEsol, as listed in Alexandria.

The structure in POSCAR format:
```
Li5MnNi4O10
1.0
2.857 0.007 -0.016
1.413 6.236 0.024
0.202 1.919 9.310
Li O Ni Mn
5 10 4 1
Direct
0.698 0.590 0.602
0.094 0.796 0.803
0.500 0.000 0.000
0.302 0.410 0.398
0.906 0.204 0.197
0.081 0.875 0.156
0.351 0.321 0.042
0.540 0.905 0.635
0.919 0.125 0.844
0.860 0.278 0.552
0.460 0.095 0.365
0.223 0.490 0.762
0.140 0.722 0.448
0.777 0.510 0.238
0.649 0.679 0.958
0.608 0.801 0.299
0.392 0.199 0.701
0.212 0.599 0.100
0.788 0.401 0.900
0.000 0.000 0.500
```

The value obtained for the total energy is -9.656 eV per atom. As for the symmetry: P-1. Its uncorrected formation energy is -1.795 eV/atom.